1.
## SrYNbO2 (PBE-GGA)

Data for a geometry-optimized SrYNbO2 structure.

* SG: P4/mmm, No. 123
* VASP energy: -6.1589 eV per atom
* Fermi-level density of states: 5.11 states/eV/cell
* ρ: 4.84 g/cm3
* energy relative to the elements, uncorrected: -532 meV per atom

POSCAR file:
```
SrYNbO2
1.0
4.226 0.000 0.000
0.000 4.226 0.000
0.000 0.000 5.795
Sr Y Nb O
1 1 1 2
direct
0.000 0.000 0.000 Sr
0.500 0.500 0.000 Y
0.500 0.500 0.500 Nb
0.000 0.500 0.500 O
0.500 0.000 0.500 O
```

=====

2.
## Sr2YNbO6 (PBE-GGA)

Data for a geometry-optimized Sr2YNbO6 structure.

* SG: P2_1/c, No. 14
* VASP energy: -8.0217 eV per atom
* Fermi-level density of states: 0.00 states/eV/cell
* ρ: 5.17 g/cm3
* energy relative to the elements, uncorrected: -3057 meV per atom

POSCAR file:
```
Sr2YNbO6
1.0
5.855 0.000 0.000
0.000 5.963 0.000
-5.823 0.000 8.336
Sr Y Nb O
4 2 2 12
direct
0.241 0.040 0.251 Sr
0.241 0.460 0.751 Sr
0.759 0.540 0.249 Sr
0.759 0.960 0.749 Sr
0.500 0.000 0.000 Y
0.500 0.500 0.500 Y
0.000 0.000 0.500 Nb
0.000 0.500 0.000 Nb
0.147 0.224 0.953 O
0.147 0.276 0.453 O
0.234 0.696 0.957 O
0.234 0.804 0.457 O
0.320 0.027 0.735 O
0.320 0.473 0.235 O
0.680 0.527 0.765 O
0.680 0.973 0.265 O
0.766 0.196 0.543 O
0.766 0.304 0.043 O
0.853 0.724 0.547 O
0.853 0.776 0.047 O
```

=====

3.
## Sr3NbZn2O8 (PBE-GGA)

Data for a geometry-optimized Sr3NbZn2O8 structure.

* SG: P-3m1, No. 164
* VASP energy: -6.2880 eV per atom
* Fermi-level density of states: 8.00 states/eV/cell
* ρ: 4.89 g/cm3
* energy relative to the elements, uncorrected: -2193 meV per atom

POSCAR file:
```
Sr3NbZn2O8
1.0
5.739 0.000 0.000
-2.870 4.970 0.000
0.000 0.000 7.314
Sr Nb Zn O
3 1 2 8
direct
0.000 0.000 0.000 Sr
0.333 0.667 0.631 Sr
0.667 0.333 0.369 Sr
0.000 0.000 0.500 Nb
0.333 0.667 0.200 Zn
0.667 0.333 0.800 Zn
0.162 0.324 0.337 O
0.162 0.838 0.337 O
0.324 0.162 0.663 O
0.333 0.667 0.948 O
0.667 0.333 0.052 O
0.676 0.838 0.337 O
0.838 0.162 0.663 O
0.838 0.676 0.663 O
```

=====

4.
## Sr3Nb2ZnO9 (PBE-GGA)

Data for a geometry-optimized Sr3Nb2ZnO9 structure.

* SG: P-3m1, No. 164
* VASP energy: -7.3963 eV per atom
* Fermi-level density of states: 0.00 states/eV/cell
* ρ: 5.40 g/cm3
* energy relative to the elements, uncorrected: -2657 meV per atom

POSCAR file:
```
Sr3Nb2ZnO9
1.0
5.748 0.000 0.000
-2.874 4.978 0.000
0.000 0.000 7.069
Sr Nb Zn O
3 2 1 9
direct
0.000 0.000 0.000 Sr
0.333 0.667 0.667 Sr
0.667 0.333 0.333 Sr
0.333 0.667 0.179 Nb
0.667 0.333 0.821 Nb
0.000 0.000 0.500 Zn
0.000 0.500 0.000 O
0.169 0.339 0.327 O
0.169 0.831 0.327 O
0.339 0.169 0.673 O
0.500 0.000 0.000 O
0.500 0.500 0.000 O
0.661 0.831 0.327 O
0.831 0.169 0.673 O
0.831 0.661 0.673 O
```

=====

5.
## Sr3Zr2Nb2O12 (PBE-GGA)

Data for a geometry-optimized Sr3Zr2Nb2O12 structure.

* SG: R-3m, No. 166
* VASP energy: -8.3337 eV per atom
* Fermi-level density of states: 0.00 states/eV/cell
* ρ: 4.93 g/cm3
* energy relative to the elements, uncorrected: -2977 meV per atom

POSCAR file:
```
Sr3Zr2Nb2O12
1.0
2.920 1.686 9.379
-2.920 1.686 9.379
0.000 -3.371 9.379
Sr Zr Nb O
3 2 2 12
direct
0.000 0.000 0.000 Sr
0.249 0.249 0.249 Sr
0.751 0.751 0.751 Sr
0.378 0.378 0.378 Zr
0.622 0.622 0.622 Zr
0.127 0.127 0.127 Nb
0.873 0.873 0.873 Nb
0.000 0.000 0.500 O
0.000 0.500 0.000 O
0.000 0.500 0.500 O
0.229 0.761 0.761 O
0.239 0.239 0.771 O
0.239 0.771 0.239 O
0.500 0.000 0.000 O
0.500 0.000 0.500 O
0.500 0.500 0.000 O
0.761 0.229 0.761 O
0.761 0.761 0.229 O
0.771 0.239 0.239 O
```

=====

6.
## Sr2ZrNbO6 (PBE-GGA)

Data for a geometry-optimized Sr2ZrNbO6 structure.

* SG: P4/mmm, No. 123
* VASP energy: -8.1290 eV per atom
* Fermi-level density of states: 2.97 states/eV/cell
* ρ: 5.31 g/cm3
* energy relative to the elements, uncorrected: -2956 meV per atom

POSCAR file:
```
Sr2ZrNbO6
1.0
4.148 0.000 0.000
0.000 4.148 0.000
0.000 0.000 8.282
Sr Zr Nb O
2 1 1 6
direct
0.000 0.000 0.245 Sr
0.000 0.000 0.755 Sr
0.500 0.500 0.500 Zr
0.500 0.500 0.000 Nb
0.000 0.500 0.000 O
0.000 0.500 0.500 O
0.500 0.000 0.000 O
0.500 0.000 0.500 O
0.500 0.500 0.245 O
0.500 0.500 0.755 O
```

=====

7.
## SrZr2NbO8 (PBE-GGA)

Data for a geometry-optimized SrZr2NbO8 structure.

* SG: Cmmm, No. 65
* VASP energy: -8.4970 eV per atom
* Fermi-level density of states: 4.96 states/eV/cell
* ρ: 4.76 g/cm3
* energy relative to the elements, uncorrected: -2788 meV per atom

POSCAR file:
```
SrZr2NbO8
1.0
3.480 -3.614 0.000
3.480 3.614 0.000
0.000 0.000 6.813
Sr Zr Nb O
1 2 1 8
direct
0.000 0.000 0.000 Sr
0.500 0.500 0.244 Zr
0.500 0.500 0.756 Zr
0.000 0.000 0.500 Nb
0.204 0.204 0.295 O
0.204 0.204 0.705 O
0.292 0.708 0.500 O
0.328 0.672 0.000 O
0.672 0.328 0.000 O
0.708 0.292 0.500 O
0.796 0.796 0.295 O
0.796 0.796 0.705 O
```

=====

8.
## SrZrNbO6 (PBE-GGA)

Data for a geometry-optimized SrZrNbO6 structure.

* SG: P4_2nm, No. 102
* VASP energy: -8.2286 eV per atom
* Fermi-level density of states: 6.88 states/eV/cell
* ρ: 4.60 g/cm3
* energy relative to the elements, uncorrected: -2668 meV per atom

POSCAR file:
```
SrZrNbO6
1.0
5.124 0.000 0.000
0.000 5.124 0.000
0.000 0.000 10.102
Sr Zr Nb O
2 2 2 12
direct
0.000 0.000 0.000 Sr
0.500 0.500 0.500 Sr
0.000 0.000 0.338 Zr
0.500 0.500 0.838 Zr
0.000 0.000 0.662 Nb
0.500 0.500 0.162 Nb
0.171 0.171 0.507 O
0.213 0.213 0.797 O
0.227 0.227 0.200 O
0.273 0.727 0.700 O
0.287 0.713 0.297 O
0.329 0.671 0.007 O
0.671 0.329 0.007 O
0.713 0.287 0.297 O
0.727 0.273 0.700 O
0.773 0.773 0.200 O
0.787 0.787 0.797 O
0.829 0.829 0.507 O
```

=====

9.
## Sr2ZrNbO6 (PBE-GGA)

Data for a geometry-optimized Sr2ZrNbO6 structure.

* SG: Fm-3m, No. 225
* VASP energy: -8.1293 eV per atom
* Fermi-level density of states: 2.88 states/eV/cell
* ρ: 5.32 g/cm3
* energy relative to the elements, uncorrected: -2956 meV per atom

POSCAR file:
```
Sr2ZrNbO6
1.0
0.000 4.143 4.143
4.143 0.000 4.143
4.143 4.143 0.000
Sr Zr Nb O
2 1 1 6
direct
0.250 0.250 0.250 Sr
0.750 0.750 0.750 Sr
0.000 0.000 0.000 Zr
0.500 0.500 0.500 Nb
0.254 0.254 0.746 O
0.254 0.746 0.254 O
0.254 0.746 0.746 O
0.746 0.254 0.254 O
0.746 0.254 0.746 O
0.746 0.746 0.254 O
```

=====

10.
## TaNbO2 (PBE-GGA)

Data for a geometry-optimized TaNbO2 structure.

* SG: Fm-3m, No. 225
* VASP energy: -8.6870 eV per atom
* Fermi-level density of states: 3.48 states/eV/cell
* ρ: 11.15 g/cm3
* energy relative to the elements, uncorrected: -727 meV per atom

POSCAR file:
```
TaNbO2
1.0
0.000 2.835 2.835
2.835 0.000 2.835
2.835 2.835 0.000
Ta Nb O
1 1 2
direct
0.000 0.000 0.000 Ta
0.500 0.500 0.500 Nb
0.250 0.250 0.250 O
0.750 0.750 0.750 O
```

=====

11.
## TaNbO4 (PBE-GGA)

Data for a geometry-optimized TaNbO4 structure.

* SG: C2/m, No. 12
* VASP energy: -9.4372 eV per atom
* Fermi-level density of states: 3.66 states/eV/cell
* ρ: 6.94 g/cm3
* energy relative to the elements, uncorrected: -2478 meV per atom

POSCAR file:
```
TaNbO4
1.0
6.197 -2.057 0.000
6.197 2.057 0.000
-2.030 0.000 6.340
Ta Nb O
2 2 8
direct
0.108 0.108 0.208 Ta
0.892 0.892 0.792 Ta
0.218 0.218 0.812 Nb
0.782 0.782 0.188 Nb
0.061 0.061 0.870 O
0.153 0.153 0.505 O
0.280 0.280 0.178 O
0.390 0.390 0.803 O
0.610 0.610 0.197 O
0.720 0.720 0.822 O
0.847 0.847 0.495 O
0.939 0.939 0.130 O
```

=====

12.
## Ta2NbO (PBE-GGA)

Data for a geometry-optimized Ta2NbO structure.

* SG: I-42d, No. 122
* VASP energy: -10.2145 eV per atom
* Fermi-level density of states: 5.24 states/eV/cell
* ρ: 12.41 g/cm3
* energy relative to the elements, uncorrected: -531 meV per atom

POSCAR file:
```
Ta2NbO
1.0
-3.659 3.659 2.353
3.659 -3.659 2.353
3.659 3.659 -2.353
Ta Nb O
4 2 2
direct
0.008 0.125 0.383 Ta
0.375 0.992 0.117 Ta
0.742 0.625 0.617 Ta
0.875 0.258 0.883 Ta
0.250 0.750 0.500 Nb
0.500 0.500 0.000 Nb
0.000 0.000 0.000 O
0.750 0.250 0.500 O
```